# Li2CrSb | the Alexandria database | PBE-GGA | relaxed
data_Li2CrSb
_space_group_name_H-M_alt 'P 1'
_space_group_IT_number 1
_cell_length_a 3.177
_cell_length_b 4.258
_cell_length_c 5.643
_cell_angle_alpha 90.00
_cell_angle_beta 90.00
_cell_angle_gamma 90.00
loop_
_space_group_symop_operation_xyz
'x,y,z'
loop_
_atom_site_label
_atom_site_type_symbol
_atom_site_fract_x
_atom_site_fract_y
_atom_site_fract_z
Cr1 Cr 0.500 0.500 0.750
Li1 Li 0.000 0.000 0.006
Li2 Li 0.000 0.000 0.494
Sb1 Sb 0.500 0.500 0.250
# **Total energy**: -4.337 eV/atom

=====

# Rb3AcSm2S6 | the Alexandria database | PBE-GGA | relaxed
data_Rb3AcSm2S6
_space_group_name_H-M_alt 'P 1'
_space_group_IT_number 1
_cell_length_a 7.395
_cell_length_b 7.395
_cell_length_c 8.108
_cell_angle_alpha 98.75
_cell_angle_beta 98.75
_cell_angle_gamma 120.00
loop_
_space_group_symop_operation_xyz
'x,y,z'
loop_
_atom_site_label
_atom_site_type_symbol
_atom_site_fract_x
_atom_site_fract_y
_atom_site_fract_z
Rb1 Rb 0.166 0.834 0.500
Rb2 Rb 0.834 0.166 0.500
Rb3 Rb 0.500 0.500 0.500
Ac1 Ac 0.000 0.000 0.000
Sm1 Sm 0.333 0.667 0.000
Sm2 Sm 0.667 0.333 0.000
S1 S 0.934 0.587 0.802
S2 S 0.718 0.718 0.198
S3 S 0.066 0.413 0.198
S4 S 0.587 0.934 0.802
S5 S 0.282 0.282 0.802
S6 S 0.413 0.066 0.198
# **Total energy**: -5.278 eV/atom

=====

# Cs3SmAs2S6 | the Alexandria database | PBE-GGA | relaxed
data_Cs3SmAs2S6
_space_group_name_H-M_alt 'P 1'
_space_group_IT_number 1
_cell_length_a 7.430
_cell_length_b 7.430
_cell_length_c 9.194
_cell_angle_alpha 90.00
_cell_angle_beta 90.00
_cell_angle_gamma 120.00
loop_
_space_group_symop_operation_xyz
'x,y,z'
loop_
_atom_site_label
_atom_site_type_symbol
_atom_site_fract_x
_atom_site_fract_y
_atom_site_fract_z
Cs1 Cs 0.333 0.667 0.647
Cs2 Cs 0.667 0.333 0.353
Cs3 Cs 0.000 0.000 0.000
Sm1 Sm 0.000 0.000 0.500
As1 As 0.667 0.333 0.783
As2 As 0.333 0.667 0.217
S1 S 0.659 0.830 0.311
S2 S 0.170 0.341 0.311
S3 S 0.170 0.830 0.311
S4 S 0.830 0.659 0.689
S5 S 0.341 0.170 0.689
S6 S 0.830 0.170 0.689
# **Total energy**: -4.439 eV/atom

=====

# GdPa | the Alexandria database | PBE-GGA | relaxed
data_GdPa
_space_group_name_H-M_alt 'P 1'
_space_group_IT_number 1
_cell_length_a 3.373
_cell_length_b 3.373
_cell_length_c 9.922
_cell_angle_alpha 90.00
_cell_angle_beta 90.01
_cell_angle_gamma 90.00
loop_
_space_group_symop_operation_xyz
'x,y,z'
loop_
_atom_site_label
_atom_site_type_symbol
_atom_site_fract_x
_atom_site_fract_y
_atom_site_fract_z
Gd1 Gd 0.250 0.250 0.647
Gd2 Gd 0.750 0.750 0.353
Pa1 Pa 0.750 0.750 0.887
Pa2 Pa 0.250 0.250 0.113
# **Total energy**: -11.683 eV/atom
# **Calculated formation energy**: 20 kJ/mol of formula units

=====

# GePbC2 | the Alexandria database | PBE-GGA | relaxed
data_GePbC2
_space_group_name_H-M_alt 'P 1'
_space_group_IT_number 1
_cell_length_a 4.987
_cell_length_b 4.987
_cell_length_c 6.026
_cell_angle_alpha 65.56
_cell_angle_beta 65.56
_cell_angle_gamma 90.00
loop_
_space_group_symop_operation_xyz
'x,y,z'
loop_
_atom_site_label
_atom_site_type_symbol
_atom_site_fract_x
_atom_site_fract_y
_atom_site_fract_z
Pb1 Pb 0.000 0.000 0.000
Pb2 Pb 0.750 0.250 0.500
Ge1 Ge 0.500 0.500 0.000
Ge2 Ge 0.250 0.750 0.500
C1 C 0.574 0.125 0.250
C2 C 0.176 0.625 0.250
C3 C 0.375 0.426 0.750
C4 C 0.875 0.824 0.750
# **E above lowest polymorph**: 0 meV per atom
# **Total energy**: -5.664 eV/atom
# **Calculated formation energy**: 397 kJ/mol of formula units

=====

# AlSbSe2 | the Alexandria database | PBE-GGA | relaxed
data_AlSbSe2
_space_group_name_H-M_alt 'P 1'
_space_group_IT_number 1
_cell_length_a 8.880
_cell_length_b 8.880
_cell_length_c 8.880
_cell_angle_alpha 25.93
_cell_angle_beta 25.93
_cell_angle_gamma 25.93
loop_
_space_group_symop_operation_xyz
'x,y,z'
loop_
_atom_site_label
_atom_site_type_symbol
_atom_site_fract_x
_atom_site_fract_y
_atom_site_fract_z
Sb1 Sb 0.500 0.500 0.500
Al1 Al 0.000 0.000 0.000
Se1 Se 0.901 0.901 0.901
Se2 Se 0.099 0.099 0.099
# **E above lowest polymorph**: 525 meV per atom
# **Total energy**: -3.675 eV/atom

=====

# LiSm4Pd3 | the Alexandria database | PBE-GGA | relaxed
data_LiSm4Pd3
_space_group_name_H-M_alt 'P 1'
_space_group_IT_number 1
_cell_length_a 3.845
_cell_length_b 4.666
_cell_length_c 10.843
_cell_angle_alpha 90.00
_cell_angle_beta 90.00
_cell_angle_gamma 90.00
loop_
_space_group_symop_operation_xyz
'x,y,z'
loop_
_atom_site_label
_atom_site_type_symbol
_atom_site_fract_x
_atom_site_fract_y
_atom_site_fract_z
Pd1 Pd 0.000 0.500 0.587
Pd2 Pd 0.000 0.000 0.417
Pd3 Pd 0.500 0.000 0.927
Sm1 Sm 0.500 0.500 0.370
Sm2 Sm 0.000 0.500 0.851
Sm3 Sm 0.000 0.000 0.141
Sm4 Sm 0.500 0.000 0.638
Li1 Li 0.500 0.500 0.069
# **Total energy**: -5.140 eV/atom
# **Calculated formation energy**: -458 kJ/mol of formula units

=====

# Mg2H4Ir | the Alexandria database | PBE-GGA | relaxed
data_Mg2H4Ir
_space_group_name_H-M_alt 'P 1'
_space_group_IT_number 1
_cell_length_a 3.570
_cell_length_b 4.497
_cell_length_c 5.107
_cell_angle_alpha 90.01
_cell_angle_beta 113.59
_cell_angle_gamma 90.00
loop_
_space_group_symop_operation_xyz
'x,y,z'
loop_
_atom_site_label
_atom_site_type_symbol
_atom_site_fract_x
_atom_site_fract_y
_atom_site_fract_z
Mg1 Mg 0.941 0.349 0.318
Mg2 Mg 0.220 0.849 0.790
H1 H 0.842 0.076 0.986
H2 H 0.531 0.087 0.480
H3 H 0.841 0.624 0.987
H4 H 0.531 0.613 0.480
Ir1 Ir 0.683 0.350 0.736
# **E above lowest polymorph**: 77 meV per atom
# **Total energy**: -3.941 eV/atom

=====

# Tm6TeRh3 | the Alexandria database | PBE-GGA | relaxed
data_Tm6TeRh3
_space_group_name_H-M_alt 'P 1'
_space_group_IT_number 1
_cell_length_a 4.020
_cell_length_b 11.628
_cell_length_c 11.557
_cell_angle_alpha 107.63
_cell_angle_beta 90.00
_cell_angle_gamma 90.00
loop_
_space_group_symop_operation_xyz
'x,y,z'
loop_
_atom_site_label
_atom_site_type_symbol
_atom_site_fract_x
_atom_site_fract_y
_atom_site_fract_z
Tm1 Tm 0.250 0.405 0.536
Tm2 Tm 0.750 0.595 0.464
Tm3 Tm 0.250 0.900 0.068
Tm4 Tm 0.750 0.100 0.932
Tm5 Tm 0.250 0.976 0.619
Tm6 Tm 0.750 0.024 0.381
Tm7 Tm 0.250 0.733 0.310
Tm8 Tm 0.750 0.267 0.690
Tm9 Tm 0.250 0.559 0.852
Tm10 Tm 0.750 0.441 0.148
Tm11 Tm 0.250 0.217 0.251
Tm12 Tm 0.750 0.783 0.749
Te1 Te 0.250 0.322 0.930
Te2 Te 0.750 0.678 0.070
Rh1 Rh 0.250 0.169 0.517
Rh2 Rh 0.750 0.831 0.483
Rh3 Rh 0.250 0.481 0.316
Rh4 Rh 0.750 0.519 0.684
Rh5 Rh 0.250 0.935 0.844
Rh6 Rh 0.750 0.065 0.156
# **Total energy**: -6.019 eV/atom

=====

Please write out number 2 again, unchanged.
# Rb3AcSm2S6 | the Alexandria database | PBE-GGA | relaxed
data_Rb3AcSm2S6
_space_group_name_H-M_alt 'P 1'
_space_group_IT_number 1
_cell_length_a 7.395
_cell_length_b 7.395
_cell_length_c 8.108
_cell_angle_alpha 98.75
_cell_angle_beta 98.75
_cell_angle_gamma 120.00
loop_
_space_group_symop_operation_xyz
'x,y,z'
loop_
_atom_site_label
_atom_site_type_symbol
_atom_site_fract_x
_atom_site_fract_y
_atom_site_fract_z
Rb1 Rb 0.166 0.834 0.500
Rb2 Rb 0.834 0.166 0.500
Rb3 Rb 0.500 0.500 0.500
Ac1 Ac 0.000 0.000 0.000
Sm1 Sm 0.333 0.667 0.000
Sm2 Sm 0.667 0.333 0.000
S1 S 0.934 0.587 0.802
S2 S 0.718 0.718 0.198
S3 S 0.066 0.413 0.198
S4 S 0.587 0.934 0.802
S5 S 0.282 0.282 0.802
S6 S 0.413 0.066 0.198
# **Total energy**: -5.278 eV/atom

=====

The highest total energy belongs to which entry?
AlSbSe2

=====

Please write out number 8 again, unchanged.
# Mg2H4Ir | the Alexandria database | PBE-GGA | relaxed
data_Mg2H4Ir
_space_group_name_H-M_alt 'P 1'
_space_group_IT_number 1
_cell_length_a 3.570
_cell_length_b 4.497
_cell_length_c 5.107
_cell_angle_alpha 90.01
_cell_angle_beta 113.59
_cell_angle_gamma 90.00
loop_
_space_group_symop_operation_xyz
'x,y,z'
loop_
_atom_site_label
_atom_site_type_symbol
_atom_site_fract_x
_atom_site_fract_y
_atom_site_fract_z
Mg1 Mg 0.941 0.349 0.318
Mg2 Mg 0.220 0.849 0.790
H1 H 0.842 0.076 0.986
H2 H 0.531 0.087 0.480
H3 H 0.841 0.624 0.987
H4 H 0.531 0.613 0.480
Ir1 Ir 0.683 0.350 0.736
# **E above lowest polymorph**: 77 meV per atom
# **Total energy**: -3.941 eV/atom

=====

What is the formula in the first record?
Li2CrSb